1.
Below is a geometry-optimized LiLaCr structure, with properties calculated at the PBE level.

abc: 3.4156 3.4156 7.4127
angles: 90.00 90.00 120.00
Positions (direct):
Li 0.0000 0.0000 0.0000
La 0.3333 0.6667 0.6066
Cr 0.6667 0.3333 0.2820

Computed properties:
Formation enthalpy at 0 K (eV per atom): 0.61
V (Å³/cell): 75
Total moment (μB/cell): 3.9
Calculated total energy (eV per atom): -4.880
Space group: No. 156
ΔE to the lowest computed polymorph (kcal/mol of atoms): 3.86

---

2.
Below is a geometry-optimized Li4LaCr structure, with properties calculated at the PBE level.

abc: 5.6212 5.6212 5.6212
angles: 60.00 60.00 60.00
Positions (direct):
Li 0.1214 0.1214 0.1214
Li 0.1214 0.1214 0.6359
Li 0.1214 0.6359 0.1214
Li 0.6359 0.1214 0.1214
La 0.5000 0.5000 0.5000
Cr 0.7500 0.7500 0.7500

Computed properties:
Formation enthalpy at 0 K (eV per atom): 0.25
V (Å³/cell): 126
Total moment (μB/cell): 4.9
Calculated total energy (eV per atom): -3.450
Space group: No. 216

---

3.
Below is a geometry-optimized LiLaLuCr structure, with properties calculated at the PBE level.

abc: 7.3075 7.3075 7.3075
angles: 90.00 90.00 90.00
Positions (direct):
Li 0.0000 0.0000 0.0000
Li 0.0000 0.5000 0.5000
Li 0.5000 0.0000 0.5000
Li 0.5000 0.5000 0.0000
La 0.2500 0.2500 0.7500
La 0.2500 0.7500 0.2500
La 0.7500 0.2500 0.2500
La 0.7500 0.7500 0.7500
Lu 0.2500 0.2500 0.2500
Lu 0.2500 0.7500 0.7500
Lu 0.7500 0.2500 0.7500
Lu 0.7500 0.7500 0.2500
Cr 0.0000 0.0000 0.5000
Cr 0.0000 0.5000 0.0000
Cr 0.5000 0.0000 0.0000
Cr 0.5000 0.5000 0.5000

Computed properties:
Formation enthalpy at 0 K (eV per atom): 0.21
V (Å³/cell): 390
Total moment (μB/cell): 12.5
Calculated total energy (eV per atom): -5.039
Space group: No. 216

---

4.
Below is a geometry-optimized LiLa3Cr2N6 structure, with properties calculated at the PBE level.

abc: 5.7299 5.7299 6.5104
angles: 90.00 90.00 120.00
Positions (direct):
Li 0.0000 0.0000 0.0000
La 0.0000 0.0000 0.5000
La 0.3333 0.6667 0.1667
La 0.6667 0.3333 0.8333
Cr 0.3333 0.6667 0.7124
Cr 0.6667 0.3333 0.2876
N 0.1697 0.3395 0.7880
N 0.1697 0.8303 0.7880
N 0.3395 0.1697 0.2120
N 0.6605 0.8303 0.7880
N 0.8303 0.1697 0.2120
N 0.8303 0.6605 0.2120

Computed properties:
V (Å³/cell): 185
Total moment (μB/cell): 0.0
Calculated total energy (eV per atom): -8.057
Space group: No. 164
ΔE_f (raw) (eV/atom): -0.90

---

5.
Below is a geometry-optimized Li2LaCrN4 structure, with properties calculated at the PBE level.

abc: 5.3813 5.3813 6.7237
angles: 90.00 90.00 90.00
Positions (direct):
Li 0.0000 0.5000 0.2500
Li 0.0000 0.5000 0.7500
Li 0.5000 0.0000 0.2500
Li 0.5000 0.0000 0.7500
La 0.0000 0.0000 0.0000
La 0.5000 0.5000 0.5000
Cr 0.0000 0.0000 0.5000
Cr 0.5000 0.5000 0.0000
N 0.1872 0.1872 0.6498
N 0.1872 0.8128 0.3502
N 0.3128 0.3128 0.1498
N 0.3128 0.6872 0.8502
N 0.6872 0.3128 0.8502
N 0.6872 0.6872 0.1498
N 0.8128 0.1872 0.3502
N 0.8128 0.8128 0.6498

Computed properties:
V (Å³/cell): 195
Total moment (μB/cell): 1.4
Calculated total energy (eV per atom): -7.118
Space group: No. 121
ΔE_f (raw) (eV/atom): -0.66